# GGA-PBE Y3Al2Zn, optimized geometry
data_Y3Al2Zn
_chemical_formula_sum 'Y3 Al2 Zn1'
_symmetry_space_group_name_H-M 'P 1'
_symmetry_Int_Tables_number 1
_cell_length_a 3.573
_cell_length_b 3.573
_cell_length_c 10.948
_cell_angle_alpha 90.00
_cell_angle_beta 90.00
_cell_angle_gamma 90.00
loop_
_symmetry_equiv_pos_as_xyz
'x,y,z'
loop_
_atom_site_label
_atom_site_fract_x
_atom_site_fract_y
_atom_site_fract_z
Y1 0.000 0.000 0.662
Al1 0.500 0.500 0.171
Y2 0.000 0.000 0.000
Zn1 0.500 0.500 0.500
Y3 0.000 0.000 0.338
Al2 0.500 0.500 0.829
# Space group   P4/mmm, No. 123
# Calculated total energy   -0.3749 Ry/atom
# Volume   140 Å³ per cell
# Crystal system   tetragonal
# M_tot   0.00 μB per atom